[1]
The following is a DFT calculation (GGA-PBEsol) of a relaxed structure of Sc2FeW.

Relative energy among the computed polymorphs, meV/atom: 0.0
Total DFT energy (no corrections), eV/atom: -8.7481
Fermi-level density of states, states/eV per cell: 3.973
Formation energy from the elements, eV per atom: 0.25
Crystal system: orthorhombic
Magnetic moment, μB/f.u.: 0.0
Symmetry: Immm (71)

Unit cell a=3.0307 b=4.6191 c=5.3258 alpha=115.70 beta=106.53 gamma=90.00
Atoms (fractional coordinates):
1 Fe 0.0000 0.5000 0.0000
2 Sc 0.2838 0.2838 0.5675
3 Sc 0.7162 0.7162 0.4325
4 W 0.5000 0.0000 0.0000

---

[2]
The following is a DFT calculation (GGA-PBEsol) of a relaxed structure of CoSiNi2.

Total DFT energy (no corrections), eV/atom: -6.8627
Fermi-level density of states, states/eV per cell: 5.098
Crystal system: tetragonal
ΔE_f (raw), eV/atom: -0.413
Magnetic moment, μB/f.u.: 0.9
Symmetry: I-4m2 (119)

Unit cell a=3.5534 b=4.1268 c=3.5534 alpha=64.50 beta=90.00 gamma=115.50
Atoms (fractional coordinates):
1 Si 0.5000 0.0000 0.5000
2 Co 0.7500 0.5000 0.7500
3 Ni 0.0000 0.0000 0.0000
4 Ni 0.2500 0.5000 0.2500

---

[3]
The following is a DFT calculation (GGA-PBEsol) of a relaxed structure of NaYAlW2.

Total DFT energy (no corrections), eV/atom: -6.4058
Fermi-level density of states, states/eV per cell: 6.185
Formation energy from the elements, eV per atom: 1.58
Crystal system: tetragonal
Magnetic moment, μB/f.u.: 0.0
Symmetry: P4/mmm (123)

Unit cell a=4.6676 b=4.6676 c=5.3200 alpha=90.00 beta=90.00 gamma=90.00
Atoms (fractional coordinates):
1 W 0.0000 0.5000 0.0000
2 W 0.5000 0.0000 0.0000
3 Na 0.5000 0.5000 0.5000
4 Al 0.0000 0.0000 0.0000
5 Y 0.0000 0.0000 0.5000

---

[4]
The following is a DFT calculation (GGA-PBEsol) of a relaxed structure of HfAsSe2Cl.

Total DFT energy (no corrections), eV/atom: -4.3923
Fermi-level density of states, states/eV per cell: 3.926
Crystal system: tetragonal
ΔE_f (raw), eV/atom: 0.671
Magnetic moment, μB/f.u.: 0.0
Symmetry: P4/mmm (123)

Unit cell a=4.8787 b=4.6687 c=4.6687 alpha=90.00 beta=90.00 gamma=90.00
Atoms (fractional coordinates):
1 Se 0.0000 0.5000 0.0000
2 Se 0.0000 0.0000 0.5000
3 Cl 0.0000 0.0000 0.0000
4 Hf 0.5000 0.5000 0.5000
5 As 0.5000 0.0000 0.0000

---

[5]
The following is a DFT calculation (GGA-PBEsol) of a relaxed structure of LiCuSb2.

Relative energy among the computed polymorphs, meV/atom: 48.3
Total DFT energy (no corrections), eV/atom: -3.8562
Fermi-level density of states, states/eV per cell: 1.786
Crystal system: orthorhombic
ΔE_f (raw), eV/atom: -0.002
Magnetic moment, μB/f.u.: 0.0
Symmetry: Pmm2 (25)

Unit cell a=3.2680 b=4.2083 c=5.6351 alpha=90.00 beta=90.00 gamma=90.00
Atoms (fractional coordinates):
1 Sb 0.5000 0.5000 0.3122
2 Sb 0.0000 0.0000 0.9392
3 Cu 0.0000 0.0000 0.4558
4 Li 0.5000 0.5000 0.7928

---

[6]
The following is a DFT calculation (GGA-PBEsol) of a relaxed structure of BaTa2Mn.

Relative energy among the computed polymorphs, meV/atom: 569.9
Total DFT energy (no corrections), eV/atom: -8.0835
Fermi-level density of states, states/eV per cell: 4.310
Formation energy from the elements, eV per atom: 1.17
Crystal system: cubic
Magnetic moment, μB/f.u.: 4.2
Symmetry: F-43m (216)

Unit cell a=4.8844 b=4.8844 c=4.8844 alpha=60.00 beta=60.00 gamma=60.00
Atoms (fractional coordinates):
1 Ta 0.7500 0.7500 0.7500
2 Ta 0.0000 0.0000 0.0000
3 Ba 0.5000 0.5000 0.5000
4 Mn 0.2500 0.2500 0.2500

---

[7]
The following is a DFT calculation (GGA-PBEsol) of a relaxed structure of LaTaBi2.

Total DFT energy (no corrections), eV/atom: -6.6378
Fermi-level density of states, states/eV per cell: 4.213
Formation energy from the elements, eV per atom: -0.02
Crystal system: cubic
Magnetic moment, μB/f.u.: 0.0
Symmetry: Fm-3m (225)

Unit cell a=5.2221 b=5.2221 c=5.2221 alpha=60.00 beta=60.00 gamma=60.00
Atoms (fractional coordinates):
1 Ta 0.5000 0.5000 0.5000
2 La 0.0000 0.0000 0.0000
3 Bi 0.7500 0.7500 0.7500
4 Bi 0.2500 0.2500 0.2500

---

[8]
The following is a DFT calculation (GGA-PBEsol) of a relaxed structure of Sr2LaTc.

Relative energy among the computed polymorphs, meV/atom: 0.0
Total DFT energy (no corrections), eV/atom: -4.2749
Fermi-level density of states, states/eV per cell: 5.274
Formation energy from the elements, eV per atom: 0.80
Crystal system: monoclinic
Magnetic moment, μB/f.u.: 0.5
Symmetry: P2/m (10)

Unit cell a=3.7303 b=5.2741 c=6.1583 alpha=90.00 beta=104.83 gamma=90.00
Atoms (fractional coordinates):
1 Tc 0.5000 0.5000 0.0000
2 La 0.5000 0.5000 0.5000
3 Sr 0.8754 0.0000 0.2204
4 Sr 0.1246 0.0000 0.7796

---

[9]
The following is a DFT calculation (GGA-PBEsol) of a relaxed structure of HfBiAsBr2.

Total DFT energy (no corrections), eV/atom: -4.0998
Fermi-level density of states, states/eV per cell: 4.387
Crystal system: tetragonal
ΔE_f (raw), eV/atom: 0.627
Magnetic moment, μB/f.u.: 1.2
Symmetry: P4/mmm (123)

Unit cell a=4.9931 b=4.9931 c=5.7767 alpha=90.00 beta=90.00 gamma=90.00
Atoms (fractional coordinates):
1 Br 0.5000 0.0000 0.0000
2 Br 0.0000 0.5000 0.0000
3 As 0.0000 0.0000 0.0000
4 Hf 0.5000 0.5000 0.5000
5 Bi 0.0000 0.0000 0.5000

---

[10]
The following is a DFT calculation (GGA-PBEsol) of a relaxed structure of InHgSCl2.

Total DFT energy (no corrections), eV/atom: -2.5386
Fermi-level density of states, states/eV per cell: 3.638
Crystal system: tetragonal
ΔE_f (raw), eV/atom: -0.149
Magnetic moment, μB/f.u.: 0.0
Symmetry: P4/mmm (123)

Unit cell a=4.9366 b=5.1788 c=5.1788 alpha=90.00 beta=90.00 gamma=90.00
Atoms (fractional coordinates):
1 Hg 0.0000 0.0000 0.0000
2 S 0.5000 0.0000 0.0000
3 Cl 0.0000 0.0000 0.5000
4 Cl 0.0000 0.5000 0.0000
5 In 0.5000 0.5000 0.5000

---

[11]
The following is a DFT calculation (GGA-PBEsol) of a relaxed structure of La2WAu.

Relative energy among the computed polymorphs, meV/atom: 86.7
Total DFT energy (no corrections), eV/atom: -6.8044
Fermi-level density of states, states/eV per cell: 2.846
Formation energy from the elements, eV per atom: 0.30
Crystal system: tetragonal
Magnetic moment, μB/f.u.: 0.0
Symmetry: P4mm (99)

Unit cell a=3.5997 b=3.5997 c=7.9671 alpha=90.00 beta=90.00 gamma=90.00
Atoms (fractional coordinates):
1 La 0.5000 0.5000 0.3137
2 La 0.0000 0.0000 0.9192
3 Au 0.5000 0.5000 0.6973
4 W 0.0000 0.0000 0.5698

---

[12]
The following is a DFT calculation (GGA-PBEsol) of a relaxed structure of Li2TlRu.

Total DFT energy (no corrections), eV/atom: -3.9954
Fermi-level density of states, states/eV per cell: 2.407
Formation energy from the elements, eV per atom: 0.19
Crystal system: monoclinic
Magnetic moment, μB/f.u.: 0.3
Symmetry: C2/m (12)

Unit cell a=2.9463 b=4.7001 c=5.3898 alpha=115.01 beta=104.60 gamma=92.78
Atoms (fractional coordinates):
1 Li 0.0000 0.0000 0.5000
2 Li 0.5000 0.5000 0.5000
3 Tl 0.0000 0.5000 0.0000
4 Ru 0.5000 0.0000 0.0000

---

[13]
The following is a DFT calculation (GGA-PBEsol) of a relaxed structure of MnTlTe2N.

Total DFT energy (no corrections), eV/atom: -5.5432
Fermi-level density of states, states/eV per cell: 2.902
Crystal system: tetragonal
ΔE_f (raw), eV/atom: 0.051
Magnetic moment, μB/f.u.: 1.4
Symmetry: P4/mmm (123)

Unit cell a=3.4623 b=5.5181 c=5.5181 alpha=90.00 beta=90.00 gamma=90.00
Atoms (fractional coordinates):
1 N 0.5000 0.0000 0.0000
2 Tl 0.5000 0.5000 0.5000
3 Te 0.0000 0.5000 0.0000
4 Te 0.0000 0.0000 0.5000
5 Mn 0.0000 0.0000 0.0000